The following is a DFT calculation (GGA-PBE) of Ce4Tm3In4 after structural relaxation.

The value obtained for the formation energy is -243.0 meV/atom. The volume is 313 Å³/cell. Its space group is Immm. For the density of states at the Fermi level, the calculation gives 21.35 states/eV/cell. The total moment is 0.28 μB/atom. For the theoretical density, the calculation gives 8.087 g/cm3. The value obtained for the total energy is -50.78 eV/cell.

abc: 3.478 9.046 11.080
angles: 114.09 99.03 90.00
Site moments in Bohr magnetons follow the coordinates.
Positions (direct):
In: 0.279 0.779 0.559  -0.01
Ce: 0.342 0.188 0.685  0.68
Tm: 0.000 0.500 0.000  -0.07
Tm: 0.906 0.906 0.812  0.00
Tm: 0.094 0.094 0.188  0.00
In: 0.500 0.785 0.000  -0.01
Ce: 0.658 0.504 0.315  0.68
Ce: 0.342 0.496 0.685  0.68
Ce: 0.658 0.812 0.315  0.68
In: 0.500 0.215 0.000  -0.01
In: 0.721 0.221 0.441  -0.01

The following is a DFT calculation (GGA-PBE) of Na2AcCoH8 after structural relaxation.

The volume is 127 Å³/cell. Its space group is P-3m1. For the density of states at the Fermi level, the calculation gives 0.00 states/eV/cell. The total moment is 0.01 μB/atom. For the theoretical density, the calculation gives 4.428 g/cm3. The value obtained for the total energy is -44.65 eV/cell.

abc: 4.783 4.783 6.435
angles: 90.00 90.00 120.00
Site moments in Bohr magnetons follow the coordinates.
Positions (direct):
H: 0.333 0.667 0.529  0.00
H: 0.148 0.852 0.145  0.00
Na: 0.667 0.333 0.119  0.00
H: 0.852 0.148 0.855  0.00
H: 0.703 0.852 0.145  0.00
H: 0.852 0.703 0.855  0.00
Na: 0.333 0.667 0.881  0.00
Co: 0.000 0.000 0.000  -0.13
Ac: 0.000 0.000 0.500  0.00
H: 0.148 0.297 0.145  0.00
H: 0.667 0.333 0.471  0.00
H: 0.297 0.148 0.855  0.00

The following is a DFT calculation (GGA-PBE) of MgRhAu after structural relaxation.

The value obtained for the formation energy is -291.0 meV/atom. The volume is 49 Å³/cell. Its space group is I4mm. For the density of states at the Fermi level, the calculation gives 2.03 states/eV/cell. The total moment is 0.00 μB/atom. For the theoretical density, the calculation gives 10.956 g/cm3. The value obtained for the total energy is -13.10 eV/cell.

abc: 5.215 5.215 5.215
angles: 143.82 143.82 52.09
Positions (direct):
Au: 0.997 0.997 0.000
Rh: 0.677 0.677 0.000
Mg: 0.327 0.327 0.000

Q: total moment of number 1 (Ce4Tm3In4)?
A: 0.28 μB/atom